Entry from Alexandria via LeMat-Bulk: a relaxed Pr3Be crystal (PBE-GGA).

Cell: 3.488 3.594 9.910 Å, 90.00 90.00 90.00°
Fractional positions:
Pr  0.000  0.500  0.466
Pr  0.500  0.500  0.139
Be  0.000  0.000  0.983
Pr  0.500  0.000  0.744

Properties
DFT formation energy, meV/atom: 362
VASP energy, eV/atom: -4.154